Entry from Alexandria via LeMat-Bulk: a relaxed CrCl2F crystal (PBE+U). Values from VASP.

## Properties
As for the total magnetization: 3.0 μB/f.u. As for the energy above the lowest structure with this stoichiometry: 0.0 kJ per mole of atoms.

```
&SYSTEM
  ibrav = 0, nat = 8, ntyp = 3
/
ATOMIC_SPECIES
F 19.00 F.upf
Cr 52.00 Cr.upf
Cl 35.45 Cl.upf
CELL_PARAMETERS angstrom
3.777 0.000 -1.044
-0.477 6.676 -1.726
-0.108 0.001 6.961
ATOMIC_POSITIONS angstrom
F 1.769 1.669 -0.954
F 1.530 5.007 -1.817
Cr 3.658 1.669 -1.476
Cr -0.358 5.007 -1.295
Cl 0.423 0.425 1.528
Cl 3.008 2.914 3.526
Cl 2.769 6.252 2.663
Cl 0.184 3.763 0.665
```